No. 1
Entry from the Alexandria database: a PBEsol-optimized structure of Ca2AgMo (meta-GGA SCAN).

Cell and atoms, written as POSCAR:
```
Ca2AgMo
1.0
0.000 3.557 3.557
3.557 0.000 3.557
3.557 3.557 0.000
Ca Ag Mo
2 1 1
Cartesian
0.000 0.000 0.000 Ca
1.778 1.778 1.778 Ca
5.335 5.335 5.335 Ag
3.557 3.557 3.557 Mo
```

Output
Symmetry: F-43m, No. 216
Formation energy from the elements in kJ/mol of formula units: 237
Energy relative to the lowest polymorph listed for this composition in kJ per mole of atoms: 0.7

=====

No. 2
Entry from the Alexandria database: a PBEsol-optimized structure of Na3HoTi2Nb2O12 (meta-GGA SCAN).

Cell and atoms, written as POSCAR:
```
Na3HoTi2Nb2O12
1.0
15.425 0.000 0.000
0.000 5.389 0.000
0.000 0.000 5.511
Na Ho Ti Nb O
6 2 4 4 24
Cartesian
0.000 1.307 0.000 Na
0.000 4.082 2.755 Na
3.933 1.295 5.204 Na
3.933 4.094 2.448 Na
11.492 1.295 5.204 Na
11.492 4.094 2.448 Na
7.712 1.270 0.101 Ho
7.712 4.119 2.856 Ho
5.782 1.430 2.627 Ti
5.782 3.958 5.382 Ti
9.643 1.430 2.627 Ti
9.643 3.958 5.382 Ti
1.969 1.376 2.616 Nb
1.969 4.013 5.371 Nb
13.456 1.376 2.616 Nb
13.456 4.013 5.371 Nb
0.000 1.691 2.416 O
0.000 3.697 5.171 O
1.712 0.287 4.180 O
1.712 5.102 1.425 O
2.212 2.376 0.838 O
2.212 3.013 3.593 O
3.941 1.021 2.599 O
3.941 4.367 5.354 O
5.659 2.375 0.791 O
5.659 3.014 3.546 O
6.294 0.253 4.049 O
6.294 5.135 1.293 O
7.712 1.877 2.300 O
7.712 3.511 5.056 O
9.131 0.253 4.049 O
9.131 5.135 1.293 O
9.765 2.375 0.791 O
9.765 3.014 3.546 O
11.483 1.021 2.599 O
11.483 4.367 5.354 O
13.213 2.376 0.838 O
13.213 3.013 3.593 O
13.713 0.287 4.180 O
13.713 5.102 1.425 O
```

Output
Formation energy (no corrections) in eV/atom: -2.99
Symmetry: Pmc2_1, No. 26
Energy relative to the lowest polymorph listed for this composition in kJ per mole of atoms: 0.0

=====

No. 3
Entry from the Alexandria database: a PBEsol-optimized structure of K2BaCa (meta-GGA SCAN).

Cell and atoms, written as POSCAR:
```
K2BaCa
1.0
2.111 1.219 14.689
-2.111 1.219 14.689
0.000 -2.437 14.689
K Ba Ca
2 1 1
Cartesian
0.000 0.000 10.868 K
0.000 0.000 33.200 K
0.000 0.000 0.000 Ba
0.000 0.000 22.034 Ca
```

Output
Symmetry: R-3m, No. 166
Formation energy from the elements in kJ/mol of formula units: 59
Energy relative to the lowest polymorph listed for this composition in kJ per mole of atoms: 6.1

=====

No. 4
Entry from the Alexandria database: a PBEsol-optimized structure of Tl2CuF4 (meta-GGA SCAN).

Cell and atoms, written as POSCAR:
```
Tl2CuF4
1.0
-2.047 2.047 6.743
2.047 -2.047 6.743
2.047 2.047 -6.743
Tl Cu F
2 1 4
Cartesian
0.000 0.000 1.978 Tl
0.000 0.000 11.508 Tl
0.000 0.000 6.743 Cu
2.047 0.000 0.000 F
0.000 0.000 4.800 F
0.000 2.047 0.000 F
0.000 0.000 8.686 F
```

Output
Formation energy (no corrections) in eV/atom: -1.85
Symmetry: I4/mmm, No. 139

=====

No. 5
Entry from the Alexandria database: a PBEsol-optimized structure of V8Cd3CuO24 (meta-GGA SCAN).

Cell and atoms, written as POSCAR:
```
V8Cd3CuO24
1.0
6.848 0.000 0.000
0.000 3.524 0.000
-0.063 0.000 17.381
V Cd Cu O
8 3 1 24
Cartesian
0.209 0.000 7.144 V
1.440 1.762 14.807 V
2.073 1.762 11.470 V
2.873 0.000 1.693 V
3.913 0.000 15.688 V
4.712 1.762 5.910 V
5.346 1.762 2.574 V
6.577 0.000 10.237 V
1.526 1.762 4.451 Cd
3.393 0.000 8.690 Cd
5.259 1.762 12.930 Cd
0.000 0.000 0.000 Cu
0.252 1.762 10.364 O
0.326 1.762 16.055 O
0.550 1.762 13.372 O
1.200 0.000 8.515 O
1.313 0.000 5.866 O
1.500 0.000 11.393 O
1.832 0.000 2.984 O
1.860 0.000 0.346 O
2.025 0.000 14.853 O
3.071 1.762 12.806 O
3.128 1.762 10.154 O
3.315 1.762 15.729 O
3.471 1.762 1.651 O
3.657 1.762 7.227 O
3.714 1.762 4.575 O
4.761 0.000 2.528 O
4.925 0.000 17.035 O
4.953 0.000 14.397 O
5.286 0.000 5.988 O
5.472 0.000 11.515 O
5.586 0.000 8.865 O
6.235 1.762 4.009 O
6.460 1.762 1.325 O
6.533 1.762 7.017 O
```

Output
Formation energy (no corrections) in eV/atom: -2.25
Symmetry: P2/m, No. 10

=====

No. 6
Entry from the Alexandria database: a PBEsol-optimized structure of Ag3HgPd (meta-GGA SCAN).

Cell and atoms, written as POSCAR:
```
Ag3HgPd
1.0
5.014 0.000 0.000
0.000 5.014 0.000
0.000 0.000 5.014
Ag Hg Pd
3 1 1
Cartesian
0.000 0.000 2.507 Ag
0.000 2.507 0.000 Ag
2.507 0.000 0.000 Ag
0.000 0.000 0.000 Hg
2.507 2.507 2.507 Pd
```

Output
Symmetry: Pm-3m, No. 221
Formation energy from the elements in kJ/mol of formula units: 474

=====

No. 7
Entry from the Alexandria database: a PBEsol-optimized structure of CuRe2Si (meta-GGA SCAN).

Cell and atoms, written as POSCAR:
```
CuRe2Si
1.0
4.269 -1.368 0.000
4.269 1.368 0.000
-1.052 0.000 4.617
Cu Re Si
1 2 1
Cartesian
0.000 0.000 0.000 Cu
1.269 0.000 3.460 Re
6.219 0.000 1.158 Re
3.744 0.000 2.309 Si
```

Output
Formation energy (no corrections) in eV/atom: 0.18
Symmetry: C2/m, No. 12

=====

No. 8
Entry from the Alexandria database: a PBEsol-optimized structure of CaCdOs (meta-GGA SCAN).

Cell and atoms, written as POSCAR:
```
CaCdOs
1.0
4.901 0.000 0.000
-2.451 4.244 0.000
0.000 0.000 2.734
Ca Cd Os
1 1 1
Cartesian
0.000 0.000 0.000 Ca
0.000 2.830 1.194 Cd
2.451 1.415 1.536 Os
```

Output
Symmetry: P3m1, No. 156
Formation energy from the elements in kJ/mol of formula units: 112
Energy relative to the lowest polymorph listed for this composition in kJ per mole of atoms: 0.0

=====

No. 9
Entry from the Alexandria database: a PBEsol-optimized structure of SmTlMo2O8 (meta-GGA SCAN).

Cell and atoms, written as POSCAR:
```
SmTlMo2O8
1.0
6.185 0.000 0.000
0.000 6.185 0.000
0.000 0.000 9.476
Sm Tl Mo O
2 2 4 16
Cartesian
1.546 1.546 2.369 Sm
4.639 4.639 7.107 Sm
1.546 1.546 7.107 Tl
4.639 4.639 2.369 Tl
1.546 4.639 0.000 Mo
1.546 4.639 4.738 Mo
4.639 1.546 0.000 Mo
4.639 1.546 4.738 Mo
0.332 3.916 5.800 O
0.332 5.363 8.414 O
0.823 3.424 1.062 O
0.823 5.854 3.676 O
2.270 3.424 3.676 O
2.270 5.854 1.062 O
2.761 3.916 8.414 O
2.761 5.363 5.800 O
3.424 0.823 3.676 O
3.424 2.270 1.062 O
3.916 0.332 8.414 O
3.916 2.761 5.800 O
5.363 0.332 5.800 O
5.363 2.761 8.414 O
5.854 0.823 1.062 O
5.854 2.270 3.676 O
```

Output
Formation energy (no corrections) in eV/atom: -2.45
Symmetry: P4/nnc, No. 126

=====

No. 10
Entry from the Alexandria database: a PBEsol-optimized structure of Mg7SiN6 (meta-GGA SCAN).

Cell and atoms, written as POSCAR:
```
Mg7SiN6
1.0
-2.735 5.115 5.689
2.735 -5.115 5.689
2.735 5.115 -5.689
Mg Si N
14 2 12
Cartesian
1.194 0.438 0.000 Mg
3.318 2.335 -1.375 Mg
3.318 -2.335 4.314 Mg
0.000 0.000 2.844 Mg
3.318 2.335 1.375 Mg
0.583 2.780 1.375 Mg
1.194 -0.438 5.689 Mg
1.541 5.553 0.000 Mg
2.151 2.335 4.314 Mg
-0.583 2.780 4.314 Mg
0.000 0.000 8.533 Mg
-0.583 7.450 1.375 Mg
-0.583 2.780 7.064 Mg
1.541 4.677 5.689 Mg
2.735 0.000 2.844 Si
0.000 5.115 2.844 Si
3.796 -1.084 1.964 N
2.033 -3.529 5.689 N
1.673 -1.084 3.725 N
1.673 1.084 1.964 N
2.033 3.529 0.000 N
1.062 6.199 -1.964 N
1.673 -1.084 7.652 N
0.701 1.586 5.689 N
1.062 4.031 3.725 N
1.062 6.199 1.964 N
0.701 8.644 0.000 N
-1.062 6.199 3.725 N
```

Output
Formation energy (no corrections) in eV/atom: -1.01
Symmetry: Ibam, No. 72

=====

No. 11
Entry from the Alexandria database: a PBEsol-optimized structure of ZrFeAu3 (meta-GGA SCAN).

Cell and atoms, written as POSCAR:
```
ZrFeAu3
1.0
4.660 0.000 0.000
0.000 4.660 0.000
0.000 0.000 4.660
Zr Fe Au
1 1 3
Cartesian
0.000 0.000 0.000 Zr
2.330 2.330 2.330 Fe
0.000 2.330 2.330 Au
2.330 0.000 2.330 Au
2.330 2.330 0.000 Au
```

Output
Symmetry: Pm-3m, No. 221
Formation energy from the elements in kJ/mol of formula units: 170

=====

No. 12
Entry from the Alexandria database: a PBEsol-optimized structure of Co2TeC (meta-GGA SCAN).

Cell and atoms, written as POSCAR:
```
Co2TeC
1.0
0.000 2.888 2.888
2.888 0.000 2.888
2.888 2.888 0.000
Co Te C
2 1 1
Cartesian
1.444 1.444 1.444 Co
4.333 4.333 4.333 Co
0.000 0.000 0.000 Te
2.888 2.888 2.888 C
```

Output
Formation energy (no corrections) in eV/atom: 1.33
Symmetry: Fm-3m, No. 225

=====

No. 13
Entry from the Alexandria database: a PBEsol-optimized structure of BaTeW2 (meta-GGA SCAN).

Cell and atoms, written as POSCAR:
```
BaTeW2
1.0
4.253 0.000 0.000
0.000 4.253 0.000
0.000 0.000 5.009
Ba Te W
1 1 2
Cartesian
0.000 0.000 0.000 Ba
2.127 2.127 0.000 Te
0.000 2.127 2.505 W
2.127 0.000 2.505 W
```

Output
Formation energy (no corrections) in eV/atom: 1.65
Symmetry: P4/mmm, No. 123

=====

No. 14
Entry from the Alexandria database: a PBEsol-optimized structure of ZnCdBr (meta-GGA SCAN).

Cell and atoms, written as POSCAR:
```
ZnCdBr
1.0
0.000 3.499 3.499
3.499 0.000 3.499
3.499 3.499 0.000
Zn Cd Br
1 1 1
Cartesian
0.000 0.000 0.000 Zn
3.499 3.499 3.499 Cd
1.749 1.749 1.749 Br
```

Output
Formation energy (no corrections) in eV/atom: 0.38
Symmetry: F-43m, No. 216

=====

No. 15
Entry from the Alexandria database: a PBEsol-optimized structure of Na3ZnW (meta-GGA SCAN).

Cell and atoms, written as POSCAR:
```
Na3ZnW
1.0
5.919 0.000 0.000
0.000 5.919 0.000
0.000 0.000 5.919
Na Zn W
3 1 1
Cartesian
0.000 0.000 2.960 Na
0.000 2.960 0.000 Na
2.960 0.000 0.000 Na
2.960 2.960 2.960 Zn
0.000 0.000 0.000 W
```

Output
Symmetry: Pm-3m, No. 221
Formation energy from the elements in kJ/mol of formula units: 802

=====

No. 16
Entry from the Alexandria database: a PBEsol-optimized structure of CdGa2Ir2 (meta-GGA SCAN).

Cell and atoms, written as POSCAR:
```
CdGa2Ir2
1.0
7.305 0.000 0.000
0.000 7.305 0.000
0.000 0.000 2.854
Cd Ga Ir
2 4 4
Cartesian
0.000 0.000 0.000 Cd
3.652 3.652 0.000 Cd
1.007 2.646 0.000 Ga
2.646 6.298 0.000 Ga
4.659 1.007 0.000 Ga
6.298 4.659 0.000 Ga
1.152 4.804 1.427 Ir
2.501 1.152 1.427 Ir
4.804 6.153 1.427 Ir
6.153 2.501 1.427 Ir
```

Output
Symmetry: P4/mbm, No. 127
Formation energy from the elements in kJ/mol of formula units: -153

=====

No. 17
Entry from the Alexandria database: a PBEsol-optimized structure of TiTeAu3 (meta-GGA SCAN).

Cell and atoms, written as POSCAR:
```
TiTeAu3
1.0
4.901 0.000 0.000
0.000 4.901 0.000
0.000 0.000 4.901
Ti Te Au
1 1 3
Cartesian
0.000 0.000 0.000 Ti
2.451 2.451 2.451 Te
0.000 0.000 2.451 Au
0.000 2.451 0.000 Au
2.451 0.000 0.000 Au
```

Output
Formation energy (no corrections) in eV/atom: 0.60
Symmetry: Pm-3m, No. 221

=====

No. 18
Entry from the Alexandria database: a PBEsol-optimized structure of MgZrSi (meta-GGA SCAN).

Cell and atoms, written as POSCAR:
```
MgZrSi
1.0
0.000 2.438 5.787
2.024 0.000 5.787
2.024 2.438 0.000
Mg Zr Si
1 1 1
Cartesian
0.000 0.000 0.000 Mg
2.024 2.438 8.102 Zr
2.024 2.438 4.022 Si
```

Output
Formation energy (no corrections) in eV/atom: -0.16
Symmetry: Fmm2, No. 42

=====

No. 19
Entry from the Alexandria database: a PBEsol-optimized structure of KTcRh2 (meta-GGA SCAN).

Cell and atoms, written as POSCAR:
```
KTcRh2
1.0
2.793 0.000 0.000
0.000 2.793 0.000
0.000 0.000 8.749
K Tc Rh
1 1 2
Cartesian
0.000 0.000 0.000 K
0.000 0.000 4.375 Tc
1.397 1.397 2.678 Rh
1.397 1.397 6.071 Rh
```

Output
Symmetry: P4/mmm, No. 123
Formation energy from the elements in kJ/mol of formula units: 130
Energy relative to the lowest polymorph listed for this composition in kJ per mole of atoms: 0.0

=====

No. 20
Entry from the Alexandria database: a PBEsol-optimized structure of ZnIrCl2 (meta-GGA SCAN).

Cell and atoms, written as POSCAR:
```
ZnIrCl2
1.0
4.090 0.000 0.000
0.000 2.958 0.000
-1.987 0.000 6.963
Zn Ir Cl
1 1 2
Cartesian
0.000 0.000 0.000 Zn
0.057 1.479 6.580 Ir
0.047 0.000 4.652 Cl
2.074 1.479 1.891 Cl
```

Output
Formation energy (no corrections) in eV/atom: -0.15
Symmetry: Pm, No. 6
Energy relative to the lowest polymorph listed for this composition in kJ per mole of atoms: 0.0

=====

No. 21
Entry from the Alexandria database: a PBEsol-optimized structure of K3SnRh (meta-GGA SCAN).

Cell and atoms, written as POSCAR:
```
K3SnRh
1.0
5.626 0.000 0.000
0.000 5.626 0.000
0.000 0.000 5.626
K Sn Rh
3 1 1
Cartesian
0.000 0.000 2.813 K
0.000 2.813 0.000 K
2.813 0.000 0.000 K
2.813 2.813 2.813 Sn
0.000 0.000 0.000 Rh
```

Output
Symmetry: Pm-3m, No. 221
Formation energy from the elements in kJ/mol of formula units: 341

=====

No. 22
Entry from the Alexandria database: a PBEsol-optimized structure of TiCo3Si (meta-GGA SCAN).

Cell and atoms, written as POSCAR:
```
TiCo3Si
1.0
4.146 0.000 0.000
0.000 4.146 0.000
0.000 0.000 4.146
Ti Co Si
1 3 1
Cartesian
0.000 0.000 0.000 Ti
0.000 0.000 2.073 Co
0.000 2.073 0.000 Co
2.073 0.000 0.000 Co
2.073 2.073 2.073 Si
```

Output
Formation energy (no corrections) in eV/atom: 1.35
Symmetry: Pm-3m, No. 221

=====

No. 23
Entry from the Alexandria database: a PBEsol-optimized structure of LaGaIN2 (meta-GGA SCAN).

Cell and atoms, written as POSCAR:
```
LaGaIN2
1.0
4.350 0.000 0.000
0.000 4.350 0.000
0.000 0.000 4.974
La Ga I N
1 1 1 2
Cartesian
0.000 0.000 0.000 La
2.175 2.175 0.000 Ga
2.175 2.175 2.487 I
0.000 2.175 2.487 N
2.175 0.000 2.487 N
```

Output
Formation energy (no corrections) in eV/atom: 1.07
Symmetry: P4/mmm, No. 123